# Cu2MoO6 (PBE+U, relaxed)
# - Electronic total energy: -104.50 eV per cell
data_Cu2MoO6
_chemical_formula_sum 'Cu4 Mo2 O12'
_cell_length_a 4.6617
_cell_length_b 4.6617
_cell_length_c 8.8569
_cell_angle_alpha 90.00
_cell_angle_beta 90.00
_cell_angle_gamma 90.00
_symmetry_space_group_name_H-M 'P 42/m n m'
_symmetry_Int_Tables_number 136
_symmetry_space_group_name_Hall '-P 4n 2n'
loop_
_atom_site_label
_atom_site_type_symbol
_atom_site_fract_x
_atom_site_fract_y
_atom_site_fract_z
_atom_site_occupancy
Cu1 Cu 0.0000 0.0000 0.1652 1
Mo1 Mo 0.0000 0.0000 0.5000 1
O1 O 0.1903 0.1903 0.3346 1
O2 O 0.1963 0.1963 0.0000 1